1.
{"formula": "Pm3BiB2Rh9", "functional": "GGA-PBE", "state": "optimized geometry", "cell": [[5.9171, 0.0000, 0.0000], [-2.9585, 5.1243, 0.0000], [0.0000, 0.0000, 8.9917]], "species": ["Pm", "Pm", "Pm", "Bi", "B", "B", "Rh", "Rh", "Rh", "Rh", "Rh", "Rh", "Rh", "Rh", "Rh"], "fractional_positions": [[0.0000, 0.0000, 0.0000], [0.3333, 0.6667, 0.6945], [0.6667, 0.3333, 0.3055], [0.0000, 0.0000, 0.5000], [0.3333, 0.6667, 0.1422], [0.6667, 0.3333, 0.8578], [0.0000, 0.5000, 0.0000], [0.1639, 0.3278, 0.2641], [0.1639, 0.8361, 0.2641], [0.3278, 0.1639, 0.7359], [0.5000, 0.0000, 0.0000], [0.5000, 0.5000, 0.0000], [0.6722, 0.8361, 0.2641], [0.8361, 0.1639, 0.7359], [0.8361, 0.6722, 0.7359]], "delta_e_f_ev_per_atom": -0.52, "energy_ev_per_cell": -105.48, "m_tot_mub_per_cell": 0.0}

2.
{"formula": "TiCd2Os", "functional": "GGA-PBE", "state": "optimized geometry", "cell": [[0.0000, 3.2661, 3.2661], [3.2661, 0.0000, 3.2661], [3.2661, 3.2661, 0.0000]], "species": ["Ti", "Cd", "Cd", "Os"], "fractional_positions": [[0.0000, 0.0000, 0.0000], [0.2500, 0.2500, 0.2500], [0.7500, 0.7500, 0.7500], [0.5000, 0.5000, 0.5000]], "delta_e_f_ev_per_atom": 0.40, "energy_ev_per_cell": -19.35, "polymorph_energy_kj_per_mol_fu": 0.0, "m_tot_mub_per_cell": 0.0}

3.
{"formula": "Na2MnSeBr", "functional": "GGA-PBE", "state": "optimized geometry", "cell": [[5.8923, 0.0000, 0.0000], [0.0000, 5.8923, 0.0000], [0.0000, 0.0000, 4.5886]], "species": ["Na", "Na", "Mn", "Se", "Br"], "fractional_positions": [[0.0000, 0.5000, 0.0000], [0.5000, 0.0000, 0.0000], [0.0000, 0.0000, 0.0000], [0.5000, 0.5000, 0.5000], [0.0000, 0.0000, 0.5000]], "energy_ev_per_cell": -16.55, "m_tot_mub_per_cell": 4.0}

4.
{"formula": "CuC3", "functional": "GGA-PBE", "state": "optimized geometry", "cell": [[2.4291, -7.1800, 0.0000], [2.4291, 7.1800, 0.0000], [0.0000, 0.0000, 2.4226]], "species": ["Cu", "Cu", "C", "C", "C", "C", "C", "C"], "fractional_positions": [[0.0782, 0.9218, 0.7500], [0.9218, 0.0782, 0.2500], [0.1810, 0.4710, 0.7500], [0.3295, 0.6705, 0.2500], [0.4710, 0.1810, 0.2500], [0.5290, 0.8190, 0.7500], [0.6705, 0.3295, 0.7500], [0.8190, 0.5290, 0.2500]], "delta_e_f_ev_per_atom": 1.85, "energy_ev_per_cell": -48.77, "polymorph_energy_kj_per_mol_fu": 480.3, "m_tot_mub_per_cell": 0.0}

5.
{"formula": "YSc2Tl", "functional": "GGA-PBE", "state": "optimized geometry", "cell": [[-2.2570, 2.2570, 4.9389], [2.2570, -2.2570, 4.9389], [2.2570, 2.2570, -4.9389]], "species": ["Y", "Sc", "Sc", "Tl"], "fractional_positions": [[0.0000, 0.0000, 0.0000], [0.2500, 0.7500, 0.5000], [0.5000, 0.5000, 0.0000], [0.7500, 0.2500, 0.5000]], "delta_e_f_ev_per_atom": -0.15, "energy_ev_per_cell": -22.09, "polymorph_energy_kj_per_mol_fu": 19.5, "m_tot_mub_per_cell": 0.0}

6.
{"formula": "RbLi2ReCl8", "functional": "GGA-PBE", "state": "optimized geometry", "cell": [[6.0786, 0.0000, 0.0000], [1.8392, 6.2565, 0.0000], [0.5697, -0.0782, 9.1868]], "species": ["Rb", "Li", "Li", "Re", "Cl", "Cl", "Cl", "Cl", "Cl", "Cl", "Cl", "Cl"], "fractional_positions": [[0.0000, 0.0000, 0.0000], [0.4903, 0.5164, 0.1637], [0.5097, 0.4836, 0.8363], [0.0000, 0.0000, 0.5000], [0.1795, 0.2595, 0.5285], [0.2372, 0.7849, 0.6687], [0.2755, 0.8482, 0.3091], [0.3303, 0.3261, 0.0147], [0.6697, 0.6739, 0.9853], [0.7245, 0.1518, 0.6909], [0.7628, 0.2151, 0.3313], [0.8205, 0.7405, 0.4715]], "energy_ev_per_cell": -45.98, "m_tot_mub_per_cell": 2.0}

7.
{"formula": "La2AgSn2", "functional": "GGA-PBE", "state": "optimized geometry", "cell": [[7.7588, 0.0000, 0.0000], [0.0000, 7.7588, 0.0000], [0.0000, 0.0000, 4.8494]], "species": ["La", "La", "La", "La", "Ag", "Ag", "Sn", "Sn", "Sn", "Sn"], "fractional_positions": [[0.1718, 0.3282, 0.0000], [0.3282, 0.8282, 0.0000], [0.6718, 0.1718, 0.0000], [0.8282, 0.6718, 0.0000], [0.0000, 0.0000, 0.5000], [0.5000, 0.5000, 0.5000], [0.1340, 0.6340, 0.5000], [0.3660, 0.1340, 0.5000], [0.6340, 0.8660, 0.5000], [0.8660, 0.3660, 0.5000]], "delta_e_f_ev_per_atom": -0.62, "energy_ev_per_cell": -47.66, "polymorph_energy_kj_per_mol_fu": 28.6, "m_tot_mub_per_cell": 0.0}

8.
{"formula": "HgRhAuCl2", "functional": "GGA-PBE", "state": "optimized geometry", "cell": [[4.5971, 0.0000, 0.0000], [0.0000, 4.5971, 0.0000], [0.0000, 0.0000, 5.7258]], "species": ["Hg", "Rh", "Au", "Cl", "Cl"], "fractional_positions": [[0.0000, 0.0000, 0.0000], [0.0000, 0.0000, 0.5000], [0.5000, 0.5000, 0.0000], [0.0000, 0.5000, 0.5000], [0.5000, 0.0000, 0.5000]], "energy_ev_per_cell": -13.51, "polymorph_energy_kj_per_mol_fu": 0.0, "m_tot_mub_per_cell": 0.0}

9.
{"formula": "GaNi3Rh", "functional": "GGA-PBE", "state": "optimized geometry", "cell": [[4.2320, -2.4416, 0.0000], [4.2320, 2.4416, 0.0000], [-2.9438, 0.0000, 4.0649]], "species": ["Ga", "Ni", "Ni", "Ni", "Rh"], "fractional_positions": [[0.0000, 0.0000, 0.0000], [0.0000, 0.5000, 0.0000], [0.5000, 0.0000, 0.0000], [0.5000, 0.5000, 0.5000], [0.0000, 0.0000, 0.5000]], "delta_e_f_ev_per_atom": 0.39, "energy_ev_per_cell": -25.79, "polymorph_energy_kj_per_mol_fu": 0.0, "m_tot_mub_per_cell": 1.7}

10.
{"formula": "AgAs2Br", "functional": "GGA-PBE", "state": "optimized geometry", "cell": [[3.7022, 0.0000, 0.0000], [0.0000, 3.7022, 0.0000], [0.0000, 0.0000, 6.8664]], "species": ["Ag", "As", "As", "Br"], "fractional_positions": [[0.0000, 0.0000, 0.0000], [0.0000, 0.0000, 0.3818], [0.5000, 0.5000, 0.3056], [0.5000, 0.5000, 0.8080]], "energy_ev_per_cell": -13.47, "polymorph_energy_kj_per_mol_fu": 84.8, "m_tot_mub_per_cell": 0.0}

11.
{"formula": "La14ErTl", "functional": "GGA-PBE", "state": "optimized geometry", "cell": [[7.3265, 0.0000, 0.0000], [0.0000, 7.3265, 0.0000], [0.0000, 0.0000, 10.4344]], "species": ["La", "La", "La", "La", "La", "La", "La", "La", "La", "La", "La", "La", "La", "La", "Er", "Tl"], "fractional_positions": [[0.0000, 0.0000, 0.0000], [0.0000, 0.5000, 0.0000], [0.0000, 0.5000, 0.5000], [0.2468, 0.2468, 0.2550], [0.2468, 0.2468, 0.7450], [0.2468, 0.7532, 0.2550], [0.2468, 0.7532, 0.7450], [0.5000, 0.0000, 0.0000], [0.5000, 0.0000, 0.5000], [0.5000, 0.5000, 0.0000], [0.7532, 0.2468, 0.2550], [0.7532, 0.2468, 0.7450], [0.7532, 0.7532, 0.2550], [0.7532, 0.7532, 0.7450], [0.5000, 0.5000, 0.5000], [0.0000, 0.0000, 0.5000]], "delta_e_f_ev_per_atom": -0.05, "energy_ev_per_cell": -76.67, "m_tot_mub_per_cell": 0.0}

12.
{"formula": "Re2HgPI", "functional": "GGA-PBE", "state": "optimized geometry", "cell": [[4.4203, 0.0000, 0.0000], [0.0000, 4.4203, 0.0000], [0.0000, 0.0000, 7.2809]], "species": ["Re", "Re", "Hg", "P", "I"], "fractional_positions": [[0.0000, 0.5000, 0.0000], [0.5000, 0.0000, 0.0000], [0.0000, 0.0000, 0.5000], [0.5000, 0.5000, 0.0000], [0.5000, 0.5000, 0.5000]], "energy_ev_per_cell": -25.10, "polymorph_energy_kj_per_mol_fu": 8.7, "m_tot_mub_per_cell": 3.2}

Question: Number 6 is which compound?
Answer: RbLi2ReCl8